A plane-wave DFT calculation with PBE-GGA was carried out for crystalline DyYTm5 at its relaxed geometry.

* formation energy from the elements: 1.162 eV per atom
* DOS at the Fermi energy: 7.0 states/eV per cell
* crystal system: orthorhombic
* distance to the lowest polymorph of the same formula: 964 meV/atom
* calculated total energy: -0.133 hartree per atom

Cell lengths 5.746, 7.855, 7.855 Å; angles 65.81, 68.55, 68.55 degrees
Atoms (fractional coordinates):
Y 0.000 0.000 0.000
Tm 0.000 0.500 0.500
Tm 0.500 0.823 0.177
Tm 0.743 0.257 0.257
Tm 0.500 0.177 0.823
Tm 0.257 0.743 0.743
Dy 0.500 0.500 0.500


A plane-wave DFT calculation with PBE-GGA was carried out for crystalline BaP4Au2 at its relaxed geometry.

* formation energy from the elements: -0.476 eV per atom
* DOS at the Fermi energy: 0.5 states/eV per cell
* crystal system: orthorhombic
* calculated total energy: -0.176 hartree per atom

Cell lengths 12.156, 11.744, 5.570 Å; angles 80.68, 72.43, 26.88 degrees
Atoms (fractional coordinates):
Au 0.164 0.164 0.836
Au 0.086 0.086 0.414
Au 0.836 0.836 0.164
Au 0.414 0.414 0.086
P 0.652 0.006 0.620
P 0.598 0.244 0.630
P 0.006 0.652 0.722
P 0.528 0.630 0.244
P 0.244 0.598 0.528
P 0.620 0.722 0.652
P 0.630 0.528 0.598
P 0.722 0.620 0.006
Ba 0.250 0.250 0.250
Ba 0.000 0.000 0.000


A plane-wave DFT calculation with PBE-GGA was carried out for crystalline PmYPd at its relaxed geometry.

* formation energy from the elements: -0.509 eV per atom
* DOS at the Fermi energy: 3.3 states/eV per cell
* crystal system: tetragonal
* distance to the lowest polymorph of the same formula: 65 meV/atom
* calculated total energy: -0.220 hartree per atom

Cell lengths 3.599, 3.599, 6.713 Å; angles 105.55, 105.55, 90.00 degrees
Atoms (fractional coordinates):
Pd 0.660 0.660 0.320
Pm 0.307 0.307 0.615
Y 0.032 0.032 0.065


A plane-wave DFT calculation with PBE-GGA was carried out for crystalline Sm4SnSb2Te at its relaxed geometry.

* formation energy without anion corrections: -1.143 eV per atom
* DOS at the Fermi energy: 1.5 states/eV per cell
* crystal system: monoclinic
* calculated total energy: -0.199 hartree per atom

Cell lengths 4.449, 7.749, 7.759 Å; angles 70.80, 90.00, 90.00 degrees
Atoms (fractional coordinates):
Sb 0.500 0.000 0.500
Sb 0.000 0.000 0.000
Te 0.000 0.500 0.500
Sn 0.500 0.500 0.000
Sm 0.500 0.245 0.757
Sm 0.000 0.752 0.752
Sm 0.000 0.248 0.248
Sm 0.500 0.755 0.243